DFT (GGA-PBE) results for RbLiCl3 after structural relaxation.

Cell lengths 5.051, 5.051, 5.051 Å; angles 90.00, 90.00, 90.00 degrees
Fractional positions:
Cl 0.000 0.000 0.500
Cl 0.000 0.500 0.000
Cl 0.500 0.000 0.000
Rb 0.500 0.500 0.500
Li 0.000 0.000 0.000

DOS(E_F) (states/eV per atom): 1.412
Calculated density (g/cm3): 2.56
ΔE_f (raw) (eV per formula unit): -6.72
Electronic total energy (eV/atom): -3.029

DFT (GGA-PBE) results for ErTlGa after structural relaxation.

Cell lengths 4.859, 4.859, 8.431 Å; angles 73.25, 73.25, 60.00 degrees
Fractional positions:
Er 0.783 0.783 0.651
Er 0.217 0.217 0.349
Ga 0.911 0.911 0.266
Ga 0.089 0.089 0.734
Tl 0.624 0.624 0.128
Tl 0.376 0.376 0.872

DOS(E_F) (states/eV per atom): 0.644
Calculated density (g/cm3): 9.02
ΔE_f (eV per atom): -0.0672
Electronic total energy (eV/atom): -3.386

DFT (GGA-PBE) results for Y6Tm2Tl after structural relaxation.

Cell lengths 4.904, 10.616, 10.615 Å; angles 90.00, 89.98, 90.00 degrees
Fractional positions:
Y 0.000 0.659 0.842
Y 0.500 0.166 0.998
Y 0.000 0.002 0.166
Y 0.000 0.666 0.502
Y 0.000 0.341 0.158
Y 0.500 0.841 0.342
Y 0.500 0.834 0.002
Y 0.000 0.998 0.834
Y 0.500 0.498 0.666
Y 0.500 0.502 0.334
Y 0.500 0.159 0.658
Y 0.000 0.334 0.498
Tm 0.000 0.666 0.166
Tm 0.500 0.166 0.334
Tm 0.500 0.834 0.666
Tm 0.000 0.334 0.834
Tl 0.000 0.000 0.500
Tl 0.500 0.500 0.000

DOS(E_F) (states/eV per atom): 1.629
Calculated density (g/cm3): 6.47
ΔE_f (eV per atom): -0.0407
Electronic total energy (eV/atom): -5.607